Density functional theory data (PBE) for a geometry-optimized KScP2O structure. Values from VASP.

```
&SYSTEM
  ibrav = 0, nat = 5, ntyp = 4
/
ATOMIC_SPECIES
K 39.10 K.upf
Sc 44.96 Sc.upf
P 30.97 P.upf
O 16.00 O.upf
ATOMIC_POSITIONS angstrom
K 0.0000 0.0000 0.0000
Sc 2.7054 2.7054 1.9610
P 0.0000 2.7054 1.9610
P 2.7054 0.0000 1.9610
O 2.7054 2.7054 0.0000
CELL_PARAMETERS angstrom
5.4108 0.0000 0.0000
0.0000 5.4108 0.0000
0.0000 0.0000 3.9221
```

Summary:
magnetic moment = 0.00 μB per formula unit
excess energy over the best structure of this formula in the dataset = 0 meV per atom
uncorrected formation energy = -532.8 meV/atom
symmetry = No. 123

---

Density functional theory data (PBE) for a geometry-optimized KScP2O structure. Values from VASP.

```
&SYSTEM
  ibrav = 0, nat = 5, ntyp = 4
/
ATOMIC_SPECIES
K 39.10 K.upf
Sc 44.96 Sc.upf
P 30.97 P.upf
O 16.00 O.upf
ATOMIC_POSITIONS angstrom
K 0.0000 0.0000 0.0000
Sc 2.5319 2.5319 2.1473
P 0.0000 2.5319 0.0000
P 2.5319 0.0000 0.0000
O 0.0000 0.0000 2.1473
CELL_PARAMETERS angstrom
5.0637 0.0000 0.0000
0.0000 5.0637 0.0000
0.0000 0.0000 4.2946
```

Summary:
magnetic moment = 0.54 μB per formula unit
excess energy over the best structure of this formula in the dataset = 1527 meV per atom
uncorrected formation energy = 994.7 meV/atom
symmetry = No. 123

---

Density functional theory data (PBE) for a geometry-optimized K3ScP2O8 structure. Values from VASP.

```
&SYSTEM
  ibrav = 0, nat = 42, ntyp = 4
/
ATOMIC_SPECIES
K 39.10 K.upf
Sc 44.96 Sc.upf
P 30.97 P.upf
O 16.00 O.upf
ATOMIC_POSITIONS angstrom
K 0.0000 0.0000 0.0000
K -1.5892 2.7609 1.9274
K 0.0000 5.5104 0.0189
K 1.5964 2.7567 5.8304
K -1.5866 8.2615 1.9274
K 6.3588 0.0042 5.8304
K 3.1758 5.5090 1.9274
K 4.7722 2.7552 7.7388
K 6.3614 5.5048 5.8304
Sc 0.0000 0.0000 3.8789
Sc 0.0000 5.5104 4.1162
Sc 4.7722 2.7552 3.6415
P -3.0875 5.5567 2.1488
P 1.5037 2.8134 2.1488
P 3.1883 0.1045 5.6090
P 1.5838 8.1611 2.1488
P 3.2685 5.4522 5.6090
P 7.8597 2.7089 5.6090
O -0.8136 1.5082 5.1118
O -2.7030 5.7782 0.6865
O -1.7796 5.4784 3.0108
O -0.8666 4.0291 5.4225
O -3.0593 8.2161 5.1118
O 0.8994 1.4587 2.6459
O 1.1196 3.0357 0.6865
O -0.8495 7.0016 5.4225
O 0.9175 3.9853 3.0108
O 3.1888 0.5483 7.0712
O 3.9101 1.1980 4.7469
O 3.0560 2.7651 2.3353
O 1.7162 5.5006 5.4225
O 0.8621 7.0676 3.0108
O 1.5834 7.7174 0.6865
O 3.8547 4.2804 4.7469
O 5.6217 1.2640 2.3353
O 3.6526 5.2299 7.0712
O 3.8728 6.8070 5.1118
O 7.8314 0.0495 2.6459
O 5.6388 4.2365 2.3353
O 6.5518 2.7872 4.7469
O 7.4751 2.4875 7.0712
O 5.5857 6.7575 2.6459
CELL_PARAMETERS angstrom
9.5444 0.0000 0.0000
-4.7722 8.2657 0.0000
0.0000 0.0000 7.7577
```

Summary:
magnetic moment = 0.00 μB per formula unit
uncorrected formation energy = -2555.2 meV/atom
symmetry = No. 147

---

Density functional theory data (PBE) for a geometry-optimized KScP2O6 structure. Values from VASP.

```
&SYSTEM
  ibrav = 0, nat = 20, ntyp = 4
/
ATOMIC_SPECIES
K 39.10 K.upf
Sc 44.96 Sc.upf
P 30.97 P.upf
O 16.00 O.upf
ATOMIC_POSITIONS angstrom
K 3.0837 4.3528 6.0098
K 3.4817 -4.3528 2.0033
Sc 3.4817 1.7903 2.0033
Sc 3.0837 -1.7903 6.0098
P 2.0923 1.3529 6.5309
P 2.4903 -1.3529 2.5244
P 4.0750 1.3529 5.4887
P 4.4730 -1.3529 1.4822
O 1.0444 2.2428 5.8247
O 2.3298 1.8160 7.9704
O 2.1388 0.1454 2.3844
O 1.7408 -0.1454 6.3909
O 3.8376 1.8160 4.0492
O 1.4424 -2.2428 1.8182
O 5.1229 2.2428 6.1949
O 2.7278 -1.8160 3.9639
O 4.8246 0.1454 1.6221
O 4.4266 -0.1454 5.6287
O 4.2356 -1.8160 0.0427
O 5.5209 -2.2428 2.1884
CELL_PARAMETERS angstrom
3.6807 -5.3916 0.0000
3.6807 5.3916 0.0000
-0.7960 0.0000 8.0131
```

Summary:
magnetic moment = 0.00 μB per formula unit
uncorrected formation energy = -2514.3 meV/atom
symmetry = No. 15